[1]
Density functional theory data (PBE) for crystalline Dy3NpCl2O6 at its relaxed geometry.

As for the density of states at the Fermi level: 13.6 states/eV per cell. The calculation puts the calculated total energy at -7.909 eV per atom. As for the crystal system: monoclinic.

The space group is C2/m (No. 12) and the conventional cell measures 12.056, 6.751 and 5.436 Å, with angles of 90.00, 101.69 and 90.00 degrees. The asymmetric unit holds Dy at (0.000, 0.000, 0.000), Dy at (0.250, 0.250, 0.500), Np at (0.000, 0.500, 0.500), Cl at (0.197, 0.000, 0.839), O at (0.066, 0.251, 0.292) and O at (0.173, 0.500, 0.665).


[2]
Density functional theory data (PBE) for crystalline DyNpTl2Cl8 at its relaxed geometry.

As for the density of states at the Fermi level: 5.1 states/eV per cell. The calculation puts the calculated total energy at -4.750 eV per atom. As for the crystal system: triclinic.

The space group is P-1 (No. 2) and the conventional cell measures 6.799, 7.372 and 8.439 Å, with angles of 90.29, 90.48 and 92.11 degrees. The asymmetric unit holds Dy at (0.000, 0.000, 0.000), Np at (0.000, 0.000, 0.500), Tl at (0.498, 0.498, 0.755), Cl at (0.213, 0.869, 0.758), Cl at (0.215, 0.871, 0.243), Cl at (0.218, 0.297, 0.000) and Cl at (0.228, 0.304, 0.495).


[3]
Density functional theory data (PBE) for crystalline Dy4Cl3O4 at its relaxed geometry.

As for the density of states at the Fermi level: 2.1 states/eV per cell. The calculation puts the calculated total energy at -6.664 eV per atom. As for the crystal system: orthorhombic.

The space group is Immm (No. 71) and the conventional cell measures 3.514, 7.697 and 13.159 Å, with angles of 90.00, 90.00 and 90.00 degrees. The asymmetric unit holds Dy at (0.000, 0.000, 0.212), Dy at (0.000, 0.234, 0.500), Cl at (0.000, 0.000, 0.000), Cl at (0.000, 0.500, 0.110) and O at (0.000, 0.322, 0.340).


[4]
Density functional theory data (PBE) for crystalline Dy2ClO at its relaxed geometry.

As for the density of states at the Fermi level: 9.3 states/eV per cell. The calculation puts the calculated total energy at -5.911 eV per atom. As for the crystal system: trigonal.

The space group is R-3m (No. 166, hexagonal axes) and the conventional cell measures 3.4994, 3.4994 and 20.9403 Å, with angles of 90.00, 90.00 and 120.00 degrees. The asymmetric unit holds Dy at (0.0000, 0.0000, 0.2293), Cl at (0.0000, 0.0000, 0.0000) and O at (0.0000, 0.0000, 0.5000).


[5]
Density functional theory data (PBE) for crystalline DyClO2 at its relaxed geometry.

As for the density of states at the Fermi level: 2.1 states/eV per cell. The calculation puts the calculated total energy at -5.927 eV per atom. As for the crystal system: monoclinic.

The space group is P2_1/m (No. 11) and the conventional cell measures 6.434, 3.512 and 6.769 Å, with angles of 90.00, 114.19 and 90.00 degrees. The asymmetric unit holds Dy at (0.157, 0.250, 0.278), Cl at (0.487, 0.750, 0.280), O at (0.055, 0.250, 0.905) and O at (0.059, 0.750, 0.529).


[6]
Density functional theory data (PBE) for crystalline Dy3OsCl2O6 at its relaxed geometry.

As for the density of states at the Fermi level: 0.5 states/eV per cell. The calculation puts the calculated total energy at -7.081 eV per atom. As for the crystal system: monoclinic.

The space group is C2/m (No. 12) and the conventional cell measures 11.370, 6.527 and 5.501 Å, with angles of 90.00, 99.57 and 90.00 degrees. The asymmetric unit holds Dy at (0.000, 0.000, 0.000), Dy at (0.250, 0.250, 0.500), Os at (0.000, 0.500, 0.500), Cl at (0.210, 0.000, 0.855), O at (0.057, 0.262, 0.297) and O at (0.167, 0.500, 0.673).


no.,formation energy (no corrections) (eV/f.u.)
1,-34.71
2,-19.95
3,-29.52
4,-7.64
5,-7.34
6,-26.50